# AlCrBr2

AlCrBr2 after structural relaxation (PBE, Alexandria).

Calculated values
E_form (uncorrected) (meV per atom): 41
M_tot (Bohr magnetons per cell): 5.00
N(E_F) (states/eV per cell): 1.54

abc: 3.854 3.726 7.734
angles: 90.00 102.49 90.00
Atoms (fractional coordinates):
1 Al 0.000 0.000 0.000
2 Cr 0.500 0.000 0.500
3 Br 0.380 0.500 0.722
4 Br 0.620 0.500 0.278

***

# AlCrBr2

AlCrBr2 after structural relaxation (PBE, Alexandria).

Calculated values
E_form (uncorrected) (meV per atom): 124
M_tot (Bohr magnetons per cell): 5.00
N(E_F) (states/eV per cell): 2.67

abc: 3.534 3.534 7.700
angles: 90.00 90.00 90.00
Atoms (fractional coordinates):
1 Al 0.000 0.000 0.000
2 Cr 0.000 0.000 0.500
3 Br 0.500 0.500 0.278
4 Br 0.500 0.500 0.722

***

# Al2CrBr

Al2CrBr after structural relaxation (PBE, Alexandria).

Calculated values
E_form (uncorrected) (meV per atom): 226
M_tot (Bohr magnetons per cell): 4.12
N(E_F) (states/eV per cell): 2.54

abc: 3.249 3.249 7.711
angles: 90.00 90.00 90.00
Atoms (fractional coordinates):
1 Al 0.000 0.000 0.000
2 Al 0.500 0.500 0.208
3 Cr 0.500 0.500 0.791
4 Br 0.000 0.000 0.575

***

# AlCrBr2

AlCrBr2 after structural relaxation (PBE, Alexandria).

Calculated values
E_form (uncorrected) (meV per atom): -223
M_tot (Bohr magnetons per cell): 4.09
N(E_F) (states/eV per cell): 5.42

abc: 9.613 9.613 9.613
angles: 21.37 21.37 21.37
Atoms (fractional coordinates):
1 Al 0.000 0.000 0.000
2 Cr 0.734 0.734 0.734
3 Br 0.271 0.271 0.271
4 Br 0.459 0.459 0.459

***

# Al2CrBr

Al2CrBr after structural relaxation (PBE, Alexandria).

Calculated values
E_form (uncorrected) (meV per atom): 316
M_tot (Bohr magnetons per cell): 3.20
N(E_F) (states/eV per cell): 2.23

abc: 3.201 4.863 4.786
angles: 90.00 90.02 90.00
Atoms (fractional coordinates):
1 Al 0.000 0.000 0.000
2 Al 0.003 0.500 0.266
3 Cr 0.503 0.500 0.791
4 Br 0.501 0.000 0.566

***

# AlCrBr6

AlCrBr6 after structural relaxation (PBE, Alexandria).

Calculated values
E_form (uncorrected) (meV per atom): -796
M_tot (Bohr magnetons per cell): 3.00

abc: 7.309 7.309 6.304
angles: 98.19 98.19 128.91
Atoms (fractional coordinates):
1 Al 0.000 0.000 0.000
2 Cr 0.500 0.500 0.500
3 Br 0.114 0.376 0.246
4 Br 0.255 0.255 0.745
5 Br 0.376 0.114 0.246
6 Br 0.624 0.886 0.754
7 Br 0.745 0.745 0.255
8 Br 0.886 0.624 0.754

***

# AlCrBr2

AlCrBr2 after structural relaxation (PBE, Alexandria).

Calculated values
E_form (uncorrected) (meV per atom): 129
M_tot (Bohr magnetons per cell): 5.02
N(E_F) (states/eV per cell): 1.00

abc: 7.087 7.087 7.087
angles: 146.65 146.65 47.88
Atoms (fractional coordinates):
1 Al 0.000 0.000 0.000
2 Cr 0.750 0.250 0.500
3 Br 0.250 0.750 0.500
4 Br 0.500 0.500 0.000

***

# Al2Cr2Br

Al2Cr2Br after structural relaxation (PBE, Alexandria).

Calculated values
E_form (uncorrected) (meV per atom): 387
M_tot (Bohr magnetons per cell): 7.33
N(E_F) (states/eV per cell): 2.46

abc: 7.638 7.638 7.638
angles: 151.84 151.84 40.25
Atoms (fractional coordinates):
1 Al 0.250 0.750 0.500
2 Al 0.750 0.250 0.500
3 Cr 0.115 0.115 0.000
4 Cr 0.885 0.885 0.000
5 Br 0.500 0.500 0.000

***

> Which of these has the lowest E_form (uncorrected)?

AlCrBr6

***

Copy entry 5 word for word.
# Al2CrBr

Al2CrBr after structural relaxation (PBE, Alexandria).

Calculated values
E_form (uncorrected) (meV per atom): 316
M_tot (Bohr magnetons per cell): 3.20
N(E_F) (states/eV per cell): 2.23

abc: 3.201 4.863 4.786
angles: 90.00 90.02 90.00
Atoms (fractional coordinates):
1 Al 0.000 0.000 0.000
2 Al 0.003 0.500 0.266
3 Cr 0.503 0.500 0.791
4 Br 0.501 0.000 0.566

***

> The highest E_form (uncorrected) belongs to which entry?

Al2Cr2Br

***

> Which of these has the lowest M_tot?

AlCrBr6